# 1
The following is a DFT calculation (PBE) of crystalline La2BeHPd at its relaxed geometry.

Output
The volume comes out at 135 Å³ per cell. The raw total energy comes out at -21.3 eV for the cell shown.

Cell lengths 5.6037, 4.3085, 5.6037 Å; angles 90.00, 90.00, 90.00 degrees
With the nearest neighbours (Å) after each atom.
Fractional positions:
Be 0.0000 0.5000 0.0000  2 Pd 2.15
H 0.5000 0.5000 0.5000  8 La 3.53
Pd 0.0000 0.0000 0.0000  2 Be 2.15
La 0.0000 0.0000 0.5000  2 Pd 2.80
La 0.5000 0.0000 0.0000  2 Pd 2.80

# 2
The following is a DFT calculation (PBE) of crystalline LaBe2H8Pd at its relaxed geometry.

Output
The volume comes out at 114 Å³ per cell. The raw total energy comes out at -46.8 eV for the cell shown.

Cell lengths 4.7318, 4.7318, 6.9544 Å; angles 112.59, 112.59, 53.98 degrees
With the nearest neighbours (Å) after each atom.
Fractional positions:
La 0.0000 0.0000 0.5000  10 H 2.29-2.54
Be 0.5869 0.5869 0.2299  4 H 1.38-1.51
Be 0.4131 0.4131 0.7701  4 H 1.38-1.51
H 0.7969 0.3041 0.8401  1 Be 1.49
H 0.7386 0.7386 0.2001  1 Be 1.38
H 0.6494 0.6494 0.4693  1 Be 1.51
H 0.3506 0.3506 0.5307  1 Be 1.51
H 0.2614 0.2614 0.7999  1 Be 1.38
H 0.3041 0.7969 0.8401  1 Be 1.49
H 0.6959 0.2031 0.1599  1 Be 1.49
H 0.2031 0.6959 0.1599  1 Be 1.49
Pd 0.0000 0.0000 0.0000  4 H 1.74

# 3
The following is a DFT calculation (PBE) of crystalline LaBeH8Rh2 at its relaxed geometry.

Output
The volume comes out at 115 Å³ per cell. The raw total energy comes out at -51.5 eV for the cell shown.

Cell lengths 4.7155, 4.7155, 6.1380 Å; angles 90.10, 90.10, 57.39 degrees
With the nearest neighbours (Å) after each atom.
Fractional positions:
La 0.0000 0.0000 0.5000  6 H 2.28-2.36
Be 0.0000 0.0000 0.0000  6 H 1.55-1.56
H 0.7272 0.2014 0.8234  1 Be 1.55, 1 Rh 1.63
H 0.8579 0.8579 0.1670  1 Be 1.56, 1 Rh 1.63
H 0.6780 0.6780 0.3895  1 Rh 1.65
H 0.3220 0.3220 0.6105  1 Rh 1.65
H 0.1421 0.1421 0.8330  1 Be 1.56, 1 Rh 1.63
H 0.2014 0.7272 0.8234  1 Be 1.55, 1 Rh 1.63
H 0.7986 0.2728 0.1766  1 Be 1.55, 1 Rh 1.63
H 0.2728 0.7986 0.1766  1 Be 1.55, 1 Rh 1.63
Rh 0.6643 0.6643 0.1210  4 H 1.63-1.65
Rh 0.3357 0.3357 0.8790  4 H 1.63-1.65

# 4
The following is a DFT calculation (PBE) of crystalline LaBe2HS at its relaxed geometry.

Output
The volume comes out at 83 Å³ per cell. The raw total energy comes out at -19.8 eV for the cell shown.

Cell lengths 3.8569, 5.6119, 3.8569 Å; angles 90.00, 90.00, 90.00 degrees
With the nearest neighbours (Å) after each atom.
Fractional positions:
Be 0.0000 0.0000 0.5000  2 H 1.93
Be 0.5000 0.0000 0.0000  2 H 1.93
S 0.0000 0.5000 0.0000  4 La 2.73, 2 H 2.81
H 0.0000 0.0000 0.0000  4 Be 1.93
La 0.5000 0.5000 0.5000  4 S 2.73